Entry 1:
LaNd2SmHg2 | PBE | relaxed

Unit cell a=5.259 b=9.660 c=7.321 alpha=90.00 beta=90.00 gamma=90.00
Space group Pmc2_1 (No. 26)
Symmetry-distinct sites (fractional):
1 La 0.000 0.059 0.000
2 Nd 0.000 0.330 0.343
3 Nd 0.500 0.442 0.026
4 Sm 0.500 0.177 0.679
5 Hg 0.000 0.351 0.774
6 Hg 0.500 0.147 0.253

## Properties
The calculated total energy is -3.624 eV per atom.

---

Entry 2:
MnNbGe2 | PBE | relaxed

Unit cell a=3.877 b=3.877 c=18.231 alpha=90.00 beta=90.00 gamma=90.00
Space group I-42d (No. 122)
Symmetry-distinct sites (fractional):
1 Mn 0.000 0.000 0.000
2 Nb 0.000 0.000 0.500
3 Ge 0.231 0.250 0.125

## Properties
For the distance to the lowest polymorph of the same formula, the calculation gives 0.256 eV/atom.

---

Entry 3:
TaVPS2 | PBE | relaxed

Unit cell a=4.427 b=4.427 c=4.638 alpha=90.00 beta=90.00 gamma=90.00
Space group P4/mmm (No. 123)
Symmetry-distinct sites (fractional):
1 Ta 0.000 0.000 0.000
2 V 0.500 0.500 0.500
3 P 0.500 0.500 0.000
4 S 0.000 0.500 0.500

## Properties
The raw formation energy is 494.7 meV per atom. For the distance to the lowest polymorph of the same formula, the calculation gives 0.262 eV/atom.

---

Entry 4:
BaSr2F | PBE | relaxed

Unit cell a=8.064 b=8.064 c=11.409 alpha=90.00 beta=90.00 gamma=90.00
Space group I-42d (No. 122)
Symmetry-distinct sites (fractional):
1 Ba 0.000 0.000 0.000
2 Sr 0.001 0.250 0.625
3 F 0.000 0.000 0.500

## Properties
The raw formation energy is -1428.0 meV per atom. For the distance to the lowest polymorph of the same formula, the calculation gives 0.000 eV/atom.

---

Entry 5:
Co3SiAu | PBE | relaxed

Unit cell a=4.193 b=4.193 c=4.193 alpha=90.00 beta=90.00 gamma=90.00
Space group Pm-3m (No. 221)
Symmetry-distinct sites (fractional):
1 Co 0.000 0.000 0.500
2 Si 0.000 0.000 0.000
3 Au 0.500 0.500 0.500

## Properties
The raw formation energy is 562.0 meV per atom. For the distance to the lowest polymorph of the same formula, the calculation gives 0.000 eV/atom.